# 1
Here is an optimized crystal structure of MgAgPRh2 from the Alexandria database. Energies are from GGA-PBEsol.

Cell and atoms, written as extended XYZ:
```
5
Lattice="4.3385 0.0000 0.0000 0.0000 4.3385 0.0000 0.0000 0.0000 4.6026" Properties=species:S:1:pos:R:3 pbc="T T T"
Mg 0.0000 0.0000 0.0000
Ag 2.1692 2.1692 0.0000
P 2.1692 2.1692 2.3013
Rh 0.0000 2.1692 2.3013
Rh 2.1692 0.0000 2.3013
```

Calculated density in g/cm3: 7.07
SG: P4/mmm, No. 123
Formation enthalpy at 0 K in meV/atom: -141.5

# 2
Here is an optimized crystal structure of MgAgP2S from the Alexandria database. Energies are from GGA-PBEsol.

Cell and atoms, written as extended XYZ:
```
5
Lattice="4.7055 0.0000 0.0000 0.0000 4.7055 0.0000 0.0000 0.0000 4.8981" Properties=species:S:1:pos:R:3 pbc="T T T"
Mg 0.0000 0.0000 0.0000
Ag 2.3527 2.3527 2.4490
P 0.0000 2.3527 2.4490
P 2.3527 0.0000 2.4490
S 2.3527 2.3527 0.0000
```

Calculated density in g/cm3: 3.46
Raw formation energy in eV/atom: 0.7414
SG: P4/mmm, No. 123

# 3
Here is an optimized crystal structure of MgAg2P2S6 from the Alexandria database. Energies are from GGA-PBEsol.

Cell and atoms, written as extended XYZ:
```
22
Lattice="3.1342 -5.4217 0.0000 3.1342 5.4217 0.0000 -2.1091 0.0000 13.4284" Properties=species:S:1:pos:R:3 pbc="T T T"
Mg 1.5523 4.5415 10.0713
Mg 2.6069 -4.5415 3.3571
Ag 1.5360 0.9145 8.5900
Ag 1.5687 0.9145 11.5526
Ag 2.5905 -0.9145 1.8758
Ag 2.6233 -0.9145 4.8384
P 2.5962 2.6983 2.2309
P 2.6176 2.6983 4.4833
P 1.5416 -2.6983 8.9451
P 1.5631 -2.6983 11.1975
S 1.9082 4.5140 5.0873
S 0.3607 3.0140 11.7810
S 3.3056 4.5140 1.6269
S 1.4010 1.1746 5.0999
S 2.7440 3.0140 8.3616
S 0.3465 -1.1746 11.8141
S 3.8128 1.1746 1.6143
S 1.4152 -3.0140 5.0668
S 2.7582 -1.1746 8.3285
S 0.8537 -4.5140 11.8015
S 3.7986 -3.0140 1.6474
S 2.2510 -4.5140 8.3411
```

Calculated density in g/cm3: 3.60
Raw formation energy in eV/atom: -0.4704
SG: C2/c, No. 15

# 4
Here is an optimized crystal structure of MgAgSn2P from the Alexandria database. Energies are from GGA-PBEsol.

Cell and atoms, written as extended XYZ:
```
5
Lattice="5.3765 0.0000 0.0000 0.0000 5.3765 0.0000 0.0000 0.0000 4.6723" Properties=species:S:1:pos:R:3 pbc="T T T"
Mg 0.0000 0.0000 0.0000
Ag 2.6882 2.6882 2.3362
Sn 0.0000 2.6882 2.3362
Sn 2.6882 0.0000 2.3362
P 2.6882 2.6882 0.0000
```

Calculated density in g/cm3: 4.92
SG: P4/mmm, No. 123
Formation enthalpy at 0 K in meV/atom: 539.9

# 5
Here is an optimized crystal structure of Mg2AgPb from the Alexandria database. Energies are from GGA-PBEsol.

Cell and atoms, written as extended XYZ:
```
4
Lattice="3.3218 0.0000 0.0000 0.0000 4.9007 0.0000 0.0000 0.0000 5.2233" Properties=species:S:1:pos:R:3 pbc="T T T"
Mg 0.0000 0.0000 0.0000
Mg 0.0000 2.4503 1.9974
Ag 1.6609 0.0000 2.4632
Pb 1.6609 2.4503 4.5385
```

Calculated density in g/cm3: 7.10
SG: Pmm2, No. 25
Formation enthalpy at 0 K in meV/atom: -81.6

# 6
Here is an optimized crystal structure of MgAg2Pb from the Alexandria database. Energies are from GGA-PBEsol.

Cell and atoms, written as extended XYZ:
```
12
Lattice="3.2010 0.0000 0.0000 -1.6005 2.7722 0.0000 0.0000 0.0000 28.0329" Properties=species:S:1:pos:R:3 pbc="T T T"
Mg 0.0000 0.0000 0.0000
Mg 0.0000 1.8481 18.6886
Mg 1.6005 0.9241 9.3443
Ag 0.0000 0.0000 7.1855
Ag 0.0000 0.0000 20.8475
Ag 0.0000 1.8481 11.5032
Ag 0.0000 1.8481 25.8741
Ag 1.6005 0.9241 2.1589
Ag 1.6005 0.9241 16.5298
Pb 0.0000 0.0000 14.0165
Pb 0.0000 1.8481 4.6722
Pb 1.6005 0.9241 23.3608
```

Calculated density in g/cm3: 8.96
SG: R-3m, No. 166
Formation enthalpy at 0 K in meV/atom: 39.2

# 7
Here is an optimized crystal structure of MgAg2Pb from the Alexandria database. Energies are from GGA-PBEsol.

Cell and atoms, written as extended XYZ:
```
8
Lattice="4.3414 0.0000 0.0000 0.0000 4.3414 0.0000 0.0000 0.0000 8.5276" Properties=species:S:1:pos:R:3 pbc="T T T"
Mg 0.0000 0.0000 0.0000
Mg 2.1707 2.1707 4.2638
Ag 0.0000 2.1707 2.1319
Ag 0.0000 2.1707 6.3957
Ag 2.1707 0.0000 2.1319
Ag 2.1707 0.0000 6.3957
Pb 0.0000 0.0000 4.2638
Pb 2.1707 2.1707 0.0000
```

Calculated density in g/cm3: 9.24
SG: I4/mmm, No. 139
Formation enthalpy at 0 K in meV/atom: -34.1

# 8
Here is an optimized crystal structure of Mg2AgPb from the Alexandria database. Energies are from GGA-PBEsol.

Cell and atoms, written as extended XYZ:
```
4
Lattice="4.4813 0.0000 0.0000 0.0000 4.4813 0.0000 0.0000 0.0000 4.1971" Properties=species:S:1:pos:R:3 pbc="T T T"
Mg 0.0000 2.2407 0.0000
Mg 2.2407 0.0000 0.0000
Ag 0.0000 0.0000 2.0986
Pb 2.2407 2.2407 2.0986
```

Calculated density in g/cm3: 7.16
SG: P4/mmm, No. 123
Formation enthalpy at 0 K in meV/atom: -94.4